Record 1
The following is a GGA-PBE calculation of a relaxed LiAgW2 crystal, from Alexandria via LeMat-Bulk.

The structure belongs to space group I-42d (No. 122); the cell edges are 3.643, 3.643 and 20.619 Å and the angles 90.00°, 90.00° and 90.00°. The distinct sites, in fractional coordinates, are Li at (0.000, 0.000, 0.000), Ag at (0.000, 0.000, 0.500) and W at (0.247, 0.250, 0.125).

As for the density of states at the Fermi level: 3.00 states/eV/f.u. Its crystal system is tetragonal. The calculation puts the energy above the most stable polymorph in this dataset at 0.590 eV/atom.

***

Record 2
The following is a GGA-PBE calculation of a relaxed LiAg2W crystal, from Alexandria via LeMat-Bulk.

The structure belongs to space group Cmmm (No. 65); the cell edges are 3.185, 4.412 and 9.389 Å and the angles 90.00°, 90.00° and 90.00°. The distinct sites, in fractional coordinates, are Li at (0.000, 0.000, 0.000), Ag at (0.000, 0.500, 0.242) and W at (0.000, 0.000, 0.500).

As for the density of states at the Fermi level: 3.08 states/eV/f.u. Its crystal system is orthorhombic. The calculation puts the energy above the most stable polymorph in this dataset at 0.003 eV/atom.

***

Record 3
The following is a GGA-PBE calculation of a relaxed Li2AgW crystal, from Alexandria via LeMat-Bulk.

The structure belongs to space group P2/m (No. 10); the cell edges are 2.593, 4.687 and 5.260 Å and the angles 90.00°, 92.23° and 90.00°. The distinct sites, in fractional coordinates, are Li at (0.104, 0.000, 0.237), Ag at (0.000, 0.500, 0.500) and W at (0.500, 0.500, 0.000).

As for the density of states at the Fermi level: 3.07 states/eV/f.u. Its crystal system is monoclinic. The calculation puts the energy above the most stable polymorph in this dataset at 0.234 eV/atom.

***

Record 4
The following is a GGA-PBE calculation of a relaxed LiAgW2 crystal, from Alexandria via LeMat-Bulk.

The structure belongs to space group Pmm2 (No. 25); the cell edges are 2.647, 4.166 and 5.836 Å and the angles 90.00°, 90.00° and 90.00°. The distinct sites, in fractional coordinates, are Li at (0.000, 0.000, 0.000), Ag at (0.500, 0.500, 0.787), W at (0.000, 0.000, 0.495) and W at (0.500, 0.500, 0.272).

As for the density of states at the Fermi level: 2.34 states/eV/f.u. Its crystal system is orthorhombic. The calculation puts the energy above the most stable polymorph in this dataset at 0.199 eV/atom.

***

Record 5
The following is a GGA-PBE calculation of a relaxed LiAg2W crystal, from Alexandria via LeMat-Bulk.

The structure belongs to space group Fm-3m (No. 225); the cell edges are 6.392, 6.392 and 6.392 Å and the angles 90.00°, 90.00° and 90.00°. The distinct sites, in fractional coordinates, are Li at (0.000, 0.000, 0.000), Ag at (0.250, 0.250, 0.250) and W at (0.000, 0.000, 0.500).

As for the density of states at the Fermi level: 4.82 states/eV/f.u. Its crystal system is cubic. The calculation puts the energy above the most stable polymorph in this dataset at 0.410 eV/atom.

***

Record 6
The following is a GGA-PBE calculation of a relaxed LiAg2W crystal, from Alexandria via LeMat-Bulk.

The structure belongs to space group Pmmm (No. 47); the cell edges are 2.697, 4.950 and 5.020 Å and the angles 90.00°, 90.00° and 90.00°. The distinct sites, in fractional coordinates, are Li at (0.000, 0.000, 0.000), Ag at (0.000, 0.500, 0.500), Ag at (0.500, 0.500, 0.000) and W at (0.500, 0.000, 0.500).

As for the density of states at the Fermi level: 2.64 states/eV/f.u. Its crystal system is orthorhombic. The calculation puts the energy above the most stable polymorph in this dataset at 0.319 eV/atom.

***

Record 7
The following is a GGA-PBE calculation of a relaxed LiAgW2 crystal, from Alexandria via LeMat-Bulk.

The structure belongs to space group Cmm2 (No. 35); the cell edges are 3.127, 4.470 and 9.338 Å and the angles 90.00°, 90.00° and 90.00°. The distinct sites, in fractional coordinates, are Li at (0.000, 0.000, 0.000), Ag at (0.000, 0.500, 0.242), W at (0.000, 0.000, 0.507) and W at (0.000, 0.500, 0.745).

As for the density of states at the Fermi level: 1.95 states/eV/f.u. Its crystal system is orthorhombic. The calculation puts the energy above the most stable polymorph in this dataset at 0.000 eV/atom.

***

Record 8
The following is a GGA-PBE calculation of a relaxed LiAgW2 crystal, from Alexandria via LeMat-Bulk.

The structure belongs to space group Immm (No. 71); the cell edges are 2.986, 4.337 and 9.933 Å and the angles 90.00°, 90.00° and 90.00°. The distinct sites, in fractional coordinates, are Li at (0.000, 0.000, 0.000), Ag at (0.000, 0.000, 0.500) and W at (0.000, 0.500, 0.245).

As for the density of states at the Fermi level: 2.82 states/eV/f.u. Its crystal system is orthorhombic. The calculation puts the energy above the most stable polymorph in this dataset at 0.211 eV/atom.

***

Record 9
The following is a GGA-PBE calculation of a relaxed Li2AgW crystal, from Alexandria via LeMat-Bulk.

The structure belongs to space group Pmm2 (No. 25); the cell edges are 2.603, 4.390 and 5.646 Å and the angles 90.00°, 90.00° and 90.00°. The distinct sites, in fractional coordinates, are Li at (0.000, 0.000, 0.000), Li at (0.500, 0.500, 0.230), Ag at (0.500, 0.500, 0.725) and W at (0.000, 0.000, 0.505).

As for the density of states at the Fermi level: 2.20 states/eV/f.u. Its crystal system is orthorhombic. The calculation puts the energy above the most stable polymorph in this dataset at 0.249 eV/atom.

***

Record 10
The following is a GGA-PBE calculation of a relaxed LiAg2W crystal, from Alexandria via LeMat-Bulk.

The structure belongs to space group C2/m (No. 12); the cell edges are 9.336, 2.677 and 5.349 Å and the angles 90.00°, 95.86° and 90.00°. The distinct sites, in fractional coordinates, are Li at (0.000, 0.000, 0.000), Ag at (0.248, 0.000, 0.752) and W at (0.000, 0.500, 0.500).

As for the density of states at the Fermi level: 3.35 states/eV/f.u. Its crystal system is monoclinic. The calculation puts the energy above the most stable polymorph in this dataset at 0.245 eV/atom.

***

Record 11
The following is a GGA-PBE calculation of a relaxed LiAg2W crystal, from Alexandria via LeMat-Bulk.

The structure belongs to space group P4/mmm (No. 123); the cell edges are 4.987, 4.987 and 2.702 Å and the angles 90.00°, 90.00° and 90.00°. The distinct sites, in fractional coordinates, are Li at (0.000, 0.000, 0.000), Ag at (0.000, 0.500, 0.500) and W at (0.500, 0.500, 0.000).

As for the density of states at the Fermi level: 3.17 states/eV/f.u. Its crystal system is tetragonal. The calculation puts the energy above the most stable polymorph in this dataset at 0.095 eV/atom.

***

Record 12
The following is a GGA-PBE calculation of a relaxed LiAg2W crystal, from Alexandria via LeMat-Bulk.

The structure belongs to space group Immm (No. 71); the cell edges are 2.711, 4.941 and 9.638 Å and the angles 90.00°, 90.00° and 90.00°. The distinct sites, in fractional coordinates, are Li at (0.000, 0.000, 0.000), Ag at (0.000, 0.500, 0.266) and W at (0.000, 0.000, 0.500).

As for the density of states at the Fermi level: 3.83 states/eV/f.u. Its crystal system is orthorhombic. The calculation puts the energy above the most stable polymorph in this dataset at 0.338 eV/atom.

***

- Which of these has the lowest energy above the most stable polymorph in this dataset?
  number 7